# 1
# Tb2Ho3Ge4, relaxed, DFT GGA-PBE
# * density: 8452 kg/m³
data_Tb2Ho3Ge4
_chemical_formula_sum 'Tb4 Ho6 Ge8'
_symmetry_space_group_name_H-M 'P 1 21/c 1'
_symmetry_Int_Tables_number 14
_symmetry_space_group_name_Hall '-P 2ybc'
_cell_length_a 7.9402
_cell_length_b 7.7748
_cell_length_c 7.5888
_cell_angle_alpha 90.00
_cell_angle_beta 112.28
_cell_angle_gamma 90.00
loop_
_atom_site_label
_atom_site_type_symbol
_atom_site_fract_x
_atom_site_fract_y
_atom_site_fract_z
Tb1 Tb 0.1995 0.1799 0.0609
Ho1 Ho 0.2374 0.6628 0.2276
Ho2 Ho 0.5000 0.0000 0.5000
Ge1 Ge 0.0878 0.5349 0.8238
Ge2 Ge 0.4911 0.1322 0.8695

# 2
# YU2RuC4, relaxed, DFT GGA-PBE
# * density: 10095 kg/m³
data_YU2RuC4
_chemical_formula_sum 'Y4 U8 Ru4 C16'
_symmetry_space_group_name_H-M 'C m c m'
_symmetry_Int_Tables_number 63
_symmetry_space_group_name_Hall '-C 2c 2'
_cell_length_a 3.5127
_cell_length_b 11.5907
_cell_length_c 11.5393
_cell_angle_alpha 90.00
_cell_angle_beta 90.00
_cell_angle_gamma 90.00
loop_
_atom_site_label
_atom_site_type_symbol
_atom_site_fract_x
_atom_site_fract_y
_atom_site_fract_z
Y1 Y 0.0000 0.1102 0.2500
U1 U 0.0000 0.3705 0.0487
Ru1 Ru 0.0000 0.1515 0.7500
C1 C 0.0000 0.0000 0.0000
C2 C 0.0000 0.2629 0.6157
C3 C 0.0000 0.4493 0.2500

# 3
# Cd2ReAs, relaxed, DFT GGA-PBE
# * density: 9292 kg/m³
data_Cd2ReAs
_chemical_formula_sum 'Cd4 Re2 As2'
_symmetry_space_group_name_H-M 'I m m 2'
_symmetry_Int_Tables_number 44
_symmetry_space_group_name_Hall 'I 2 -2'
_cell_length_a 2.9814
_cell_length_b 4.8494
_cell_length_c 12.0127
_cell_angle_alpha 90.00
_cell_angle_beta 90.00
_cell_angle_gamma 90.00
loop_
_atom_site_label
_atom_site_type_symbol
_atom_site_fract_x
_atom_site_fract_y
_atom_site_fract_z
Cd1 Cd 0.0000 0.0000 0.0000
Cd2 Cd 0.0000 0.5000 0.1777
Re1 Re 0.0000 0.5000 0.7066
As1 As 0.0000 0.0000 0.3672

# 4
# Ac3Ga4Hg4, relaxed, DFT GGA-PBE
# * density: 9947 kg/m³
data_Ac3Ga4Hg4
_chemical_formula_sum 'Ac3 Ga4 Hg4'
_symmetry_space_group_name_H-M 'P -1'
_symmetry_Int_Tables_number 2
_symmetry_space_group_name_Hall '-P 1'
_cell_length_a 4.3526
_cell_length_b 4.7769
_cell_length_c 14.4530
_cell_angle_alpha 97.98
_cell_angle_beta 98.57
_cell_angle_gamma 90.15
loop_
_atom_site_label
_atom_site_type_symbol
_atom_site_fract_x
_atom_site_fract_y
_atom_site_fract_z
Ac1 Ac 0.0000 0.0000 0.0000
Ac2 Ac 0.1520 0.6192 0.2979
Ga1 Ga 0.2558 0.3062 0.5069
Ga2 Ga 0.4342 0.9176 0.8059
Hg1 Hg 0.3004 0.8629 0.6134
Hg2 Hg 0.4371 0.4549 0.8966

# 5
# CaYCdHg, relaxed, DFT GGA-PBE
# * density: 6889 kg/m³
data_CaYCdHg
_chemical_formula_sum 'Ca4 Y4 Cd4 Hg4'
_symmetry_space_group_name_H-M 'F -4 3 m'
_symmetry_Int_Tables_number 216
_symmetry_space_group_name_Hall 'F -4 2 3'
_cell_length_a 7.5252
_cell_length_b 7.5252
_cell_length_c 7.5252
_cell_angle_alpha 90.00
_cell_angle_beta 90.00
_cell_angle_gamma 90.00
loop_
_atom_site_label
_atom_site_type_symbol
_atom_site_fract_x
_atom_site_fract_y
_atom_site_fract_z
Ca1 Ca 0.0000 0.0000 0.0000
Y1 Y 0.0000 0.0000 0.5000
Cd1 Cd 0.2500 0.2500 0.2500
Hg1 Hg 0.2500 0.2500 0.7500

# 6
# Tb6CeTm2, relaxed, DFT GGA-PBE
# * energy relative to the lowest polymorph listed for this composition: 1.92 eV/f.u.
# * density: 8268 kg/m³
data_Tb6CeTm2
_chemical_formula_sum 'Tb18 Ce3 Tm6'
_symmetry_space_group_name_H-M 'R 3 m'
_symmetry_Int_Tables_number 160
_symmetry_space_group_name_Hall 'R 3 -2"'
_cell_length_a 7.2555
_cell_length_b 7.2555
_cell_length_c 18.9191
_cell_angle_alpha 90.00
_cell_angle_beta 90.00
_cell_angle_gamma 120.00
loop_
_atom_site_label
_atom_site_type_symbol
_atom_site_fract_x
_atom_site_fract_y
_atom_site_fract_z
Tb1 Tb 0.0102 0.5051 0.0000
Tb2 Tb 0.0364 0.5182 0.8063
Ce1 Ce 0.0000 0.0000 0.5532
Tm1 Tm 0.0000 0.0000 0.8139
Tm2 Tm 0.0000 0.0000 0.9910

# 7
# Co3Ni5Ir3, relaxed, DFT GGA-PBE
# * density: 11827 kg/m³
data_Co3Ni5Ir3
_chemical_formula_sum 'Co3 Ni5 Ir3'
_symmetry_space_group_name_H-M 'P -6 2 m'
_symmetry_Int_Tables_number 189
_symmetry_space_group_name_Hall 'P -6 -2'
_cell_length_a 8.1633
_cell_length_b 8.1633
_cell_length_c 2.5470
_cell_angle_alpha 90.00
_cell_angle_beta 90.00
_cell_angle_gamma 120.00
loop_
_atom_site_label
_atom_site_type_symbol
_atom_site_fract_x
_atom_site_fract_y
_atom_site_fract_z
Co1 Co 0.0000 0.1612 0.0000
Ni1 Ni 0.0000 0.6734 0.0000
Ni2 Ni 0.3333 0.6667 0.0000
Ir1 Ir 0.0000 0.4160 0.5000

# 8
# ScRePt2, relaxed, DFT GGA-PBE
# * density: 15523 kg/m³
data_ScRePt2
_chemical_formula_sum 'Sc2 Re2 Pt4'
_symmetry_space_group_name_H-M 'I m m 2'
_symmetry_Int_Tables_number 44
_symmetry_space_group_name_Hall 'I 2 -2'
_cell_length_a 2.8302
_cell_length_b 4.7616
_cell_length_c 9.8644
_cell_angle_alpha 90.00
_cell_angle_beta 90.00
_cell_angle_gamma 90.00
loop_
_atom_site_label
_atom_site_type_symbol
_atom_site_fract_x
_atom_site_fract_y
_atom_site_fract_z
Sc1 Sc 0.0000 0.0000 0.0000
Re1 Re 0.0000 0.5000 0.2387
Pt1 Pt 0.0000 0.0000 0.5097
Pt2 Pt 0.0000 0.5000 0.7630

So what do the calculations give for formation energy from the elements? Going down the list: -0.87; -0.05; 0.34; -0.44; -0.44; 0.30; 0.48; -0.31 eV per atom.
So what do the calculations give for total magnetization? Going down the list: 0.0; 0.0; 0.0; 0.0; 0.0; 0.0; 9.6; 0.0 μB per cell.